(1)
Entry from Alexandria via LeMat-Bulk: crystalline Dy6Zn5Tc at its relaxed geometry (PBE).

Properties
The value obtained for the density of states at the Fermi level is 8.681 states/eV/cell. Its crystal system is orthorhombic. Its space-group type is Cmmm (65).

Lattice parameters (Å, degrees): 7.8946 7.8946 7.1280 90.00 90.00 143.06
Element x y z (fractional)
Dy 0.0000 0.0000 0.2392
Dy 0.0000 0.0000 0.7608
Dy 0.3388 0.6612 0.2439
Dy 0.3388 0.6612 0.7561
Dy 0.6612 0.3388 0.2439
Dy 0.6612 0.3388 0.7561
Zn 0.1664 0.8336 0.5000
Zn 0.1698 0.8302 0.0000
Zn 0.5000 0.5000 0.5000
Zn 0.8302 0.1698 0.0000
Zn 0.8336 0.1664 0.5000
Tc 0.5000 0.5000 0.0000


(2)
Entry from Alexandria via LeMat-Bulk: crystalline ZnMoW2 at its relaxed geometry (PBE).

Properties
The value obtained for the density of states at the Fermi level is 2.086 states/eV/cell. Its crystal system is orthorhombic. Its space-group type is Cmmm (65).

Lattice parameters (Å, degrees): 2.7219 2.7219 8.9052 90.00 90.00 107.55
Element x y z (fractional)
Zn 0.0000 0.0000 0.0000
Mo 0.0000 0.0000 0.5000
W 0.5000 0.5000 0.2490
W 0.5000 0.5000 0.7510


no.,calculated formation energy (eV/atom)
1,-0.3126
2,0.1487